Record 1
The following is a GGA-PBE calculation of a relaxed Cs2KBeI6 crystal, from Alexandria.

The uncorrected formation energy comes out at -9.06 eV per formula unit. The calculation puts the calculated volume at 45.3 A^3/atom. The value obtained for the total magnetic moment is 0.0 μB per cell. The total energy is -2.489 eV/atom.

It has space group Fm-3m (No. 225), with a = 12.189 Å, b = 12.189 Å, c = 12.189 Å, α = 90.00°, β = 90.00° and γ = 90.00°. The asymmetric unit holds Cs at (0.250, 0.250, 0.250), K at (0.000, 0.000, 0.000), Be at (0.000, 0.000, 0.500) and I at (0.000, 0.000, 0.279).

Record 2
The following is a GGA-PBE calculation of a relaxed ZnGeSe3 crystal, from Alexandria.

The uncorrected formation energy comes out at -1.29 eV per formula unit. As for the offset from the most stable computed form: 92 meV/atom. The calculation puts the calculated volume at 24.1 A^3/atom. The value obtained for the total magnetic moment is 0.0 μB per cell. The total energy is -3.528 eV/atom.

It has space group Cmc2_1 (No. 36), with a = 3.944 Å, b = 19.238 Å, c = 6.344 Å, α = 90.00°, β = 90.00° and γ = 90.00°. The asymmetric unit holds Zn at (0.000, 0.122, 0.000), Ge at (0.000, 0.337, 0.058), Se at (0.000, 0.102, 0.377), Se at (0.000, 0.231, 0.786) and Se at (0.000, 0.431, 0.332).

Record 3
The following is a GGA-PBE calculation of a relaxed Pr3Sm2Ho6 crystal, from Alexandria.

The formation energy is 0.26 eV/atom. As for the offset from the most stable computed form: 65 meV/atom. The calculation puts the calculated volume at 34.6 A^3/atom. The value obtained for the total magnetic moment is 0.0 μB per cell. The total energy is -4.399 eV/atom.

It has space group I4/mmm (No. 139), with a = 4.787 Å, b = 4.787 Å, c = 33.231 Å, α = 90.00°, β = 90.00° and γ = 90.00°. The asymmetric unit holds Pr at (0.000, 0.000, 0.000), Pr at (0.000, 0.000, 0.205), Sm at (0.000, 0.000, 0.454), Ho at (0.000, 0.000, 0.309) and Ho at (0.000, 0.500, 0.120).

Record 4
The following is a GGA-PBE calculation of a relaxed Tm6Cd5Sn crystal, from Alexandria.

The formation energy is -0.37 eV/atom. The calculation puts the calculated volume at 25.3 A^3/atom. The value obtained for the total magnetic moment is 0.0 μB per cell. The total energy is -3.320 eV/atom.

It has space group Cmmm (No. 65), with a = 5.255 Å, b = 15.799 Å, c = 7.299 Å, α = 90.00°, β = 90.00° and γ = 90.00°. The asymmetric unit holds Tm at (0.000, 0.000, 0.248), Tm at (0.000, 0.333, 0.252), Cd at (0.000, 0.166, 0.500), Cd at (0.000, 0.174, 0.000), Cd at (0.000, 0.500, 0.500) and Sn at (0.000, 0.500, 0.000).

Record 5
The following is a GGA-PBE calculation of a relaxed Na2TlAgH crystal, from Alexandria.

As for the offset from the most stable computed form: 0 meV/atom. The calculation puts the calculated volume at 20.3 A^3/atom. The value obtained for the total magnetic moment is 0.0 μB per cell. The total energy is -2.232 eV/atom.

It has space group P4/mmm (No. 123), with a = 5.136 Å, b = 5.136 Å, c = 3.841 Å, α = 90.00°, β = 90.00° and γ = 90.00°. The asymmetric unit holds Na at (0.000, 0.500, 0.000), Tl at (0.000, 0.000, 0.500), Ag at (0.500, 0.500, 0.500) and H at (0.500, 0.500, 0.000).

Record 6
The following is a GGA-PBE calculation of a relaxed NpScPbO6 crystal, from Alexandria.

The uncorrected formation energy comes out at -22.76 eV per formula unit. The calculation puts the calculated volume at 15.8 A^3/atom. The value obtained for the total magnetic moment is 0.0 μB per cell. The total energy is -8.388 eV/atom.

It has space group P-31c (No. 163), with a = 5.6093 Å, b = 5.6093 Å, c = 10.4551 Å, α = 90.00°, β = 90.00° and γ = 120.00°. The asymmetric unit holds Np at (0.3333, 0.6667, 0.2500), Sc at (0.3333, 0.6667, 0.7500), Pb at (0.0000, 0.0000, 0.0000) and O at (0.0128, 0.3784, 0.1462).

Record 7
The following is a GGA-PBE calculation of a relaxed Ba2NaAl crystal, from Alexandria.

The formation energy is 0.00 eV/atom. The calculation puts the calculated volume at 40.4 A^3/atom. The value obtained for the total magnetic moment is 0.0 μB per cell. The total energy is -2.227 eV/atom.

It has space group P4/mmm (No. 123), with a = 6.141 Å, b = 6.141 Å, c = 4.284 Å, α = 90.00°, β = 90.00° and γ = 90.00°. The asymmetric unit holds Ba at (0.000, 0.500, 0.000), Na at (0.000, 0.000, 0.500) and Al at (0.500, 0.500, 0.500).

Record 8
The following is a GGA-PBE calculation of a relaxed NdCd2TeO6 crystal, from Alexandria.

The uncorrected formation energy comes out at -15.85 eV per formula unit. The calculation puts the calculated volume at 14.8 A^3/atom. The value obtained for the total magnetic moment is 0.0 μB per cell. The total energy is -5.534 eV/atom.

It has space group R3 (No. 146, hexagonal axes), with a = 5.7907 Å, b = 5.7907 Å, c = 15.2441 Å, α = 90.00°, β = 90.00° and γ = 120.00°. The asymmetric unit holds Nd at (0.0000, 0.0000, 0.0000), Cd at (0.0000, 0.0000, 0.2179), Cd at (0.0000, 0.0000, 0.7289), Te at (0.0000, 0.0000, 0.5092), O at (0.0130, 0.7303, 0.5945) and O at (0.0427, 0.3355, 0.1061).